NaH3Br: optimized geometry, GGA-PBE.

Results
The calculation puts the total energy at -1.728 eV per atom. For the density of states at the Fermi level, the calculation gives 0.6 states/eV per cell.

Lattice parameters (Å, degrees): 4.3102 4.3102 4.3102 90.00 90.00 90.00
Space group Pm-3m (No. 221)
Unique sites:
Na 0.0000 0.0000 0.0000
H 0.0000 0.0000 0.5000
Br 0.5000 0.5000 0.5000